## w
DFT (PBE) results for RbCu3As after structural relaxation.

Unit cell a=4.8165 b=4.8165 c=4.8165 alpha=90.00 beta=90.00 gamma=90.00
Atoms (fractional coordinates):
Rb: 0.0000 0.0000 0.0000
Cu: 0.0000 0.5000 0.5000
Cu: 0.5000 0.0000 0.5000
Cu: 0.5000 0.5000 0.0000
As: 0.5000 0.5000 0.5000

symmetry: No. 221
D(E_F): 3.37 states/eV/cell
crystal system: cubic



## x
DFT (PBE) results for RbCu3As after structural relaxation.

Unit cell a=5.0739 b=5.0739 c=5.0739 alpha=90.00 beta=90.00 gamma=90.00
Atoms (fractional coordinates):
Rb: 0.0000 0.0000 0.0000
Cu: 0.0000 0.0000 0.5000
Cu: 0.0000 0.5000 0.0000
Cu: 0.5000 0.0000 0.0000
As: 0.5000 0.5000 0.5000

symmetry: No. 221
D(E_F): 4.67 states/eV/cell
crystal system: cubic



Most favorable structure: w. The second most favorable one is 1587 meV per atom above it.